DFT (PBE) results for a geometry-optimized Nd2DyGe3Pd4 structure.

abc: 4.2980 4.2980 11.2425
angles: 90.00 90.00 90.00
Space group P-4m2 (No. 115)
Symmetry-distinct sites (fractional):
Nd 0.0000 0.5000 0.2207
Dy 0.0000 0.0000 0.5000
Ge 0.0000 0.5000 0.8776
Ge 0.5000 0.5000 0.5000
Pd 0.0000 0.0000 0.0000
Pd 0.0000 0.5000 0.6569
Pd 0.5000 0.5000 0.0000

Calculated values
Electronic total energy (eV per atom): -5.7180
ΔH_f (0 K) (kJ/mol of atoms): -81.23

=====

DFT (PBE) results for a geometry-optimized Li5FeS4 structure.

abc: 3.5986 6.8159 13.9982
angles: 90.00 90.00 90.00
Space group Imm2 (No. 44)
Symmetry-distinct sites (fractional):
Li 0.0000 0.0000 0.0000
Li 0.0000 0.2015 0.6936
Li 0.0000 0.2275 0.3469
Fe 0.0000 0.5000 0.9840
S 0.0000 0.2353 0.5184
S 0.0000 0.5000 0.2452
S 0.0000 0.5000 0.8158

Calculated values
Electronic total energy (eV per atom): -4.4224
ΔE to the lowest computed polymorph (eV/atom): 0.099

=====

DFT (PBE) results for a geometry-optimized TbDySc5 structure.

abc: 5.1208 5.1208 7.5580
angles: 90.00 90.00 90.00
Space group P4/mmm (No. 123)
Symmetry-distinct sites (fractional):
Tb 0.0000 0.0000 0.0000
Dy 0.5000 0.5000 0.5000
Sc 0.0000 0.5000 0.2732
Sc 0.5000 0.5000 0.0000

Calculated values
Electronic total energy (eV per atom): -5.4685
ΔH_f (0 K) (kJ/mol of atoms): 35.98

=====

DFT (PBE) results for a geometry-optimized LaTb3Er6Tm2 structure.

abc: 6.1280 10.6065 11.7251
angles: 90.00 100.00 90.00
Space group C2/m (No. 12)
Symmetry-distinct sites (fractional):
La 0.0000 0.0000 0.0000
Tb 0.0000 0.1671 0.5000
Tb 0.0000 0.5000 0.5000
Er 0.2482 0.3326 0.7487
Er 0.2494 0.5000 0.2513
Tm 0.0000 0.3333 0.0000

Calculated values
Electronic total energy (eV per atom): -4.5718
ΔH_f (0 K) (kJ/mol of atoms): 2.23

=====

Record-wise total magnetization values, in μB/cell: 0.0 8.6 0.0 0.0